[1]
Here is crystalline BaC3F at its relaxed geometry from Alexandria. Energies are from PBE-GGA.

Cell lengths 4.222, 4.222, 4.222 Å; angles 90.00, 90.00, 90.00 degrees
Fractional coordinates of all 5 atoms:
Ba: 0.000 0.000 0.000
C: 0.000 0.500 0.500
C: 0.500 0.000 0.500
C: 0.500 0.500 0.000
F: 0.500 0.500 0.500

As for the symmetry: No. 221. The density of states at the Fermi level is 4.80 states/eV/f.u. Its uncorrected formation energy is 2.5811 eV/atom. The calculated total energy comes out at -3.7121 eV per atom.



[2]
Here is crystalline BaCF3 at its relaxed geometry from Alexandria. Energies are from PBE-GGA.

Cell lengths 4.196, 4.196, 4.196 Å; angles 90.00, 90.00, 90.00 degrees
Fractional coordinates of all 5 atoms:
Ba: 0.000 0.000 0.000
C: 0.500 0.500 0.500
F: 0.000 0.500 0.500
F: 0.500 0.000 0.500
F: 0.500 0.500 0.000

As for the symmetry: No. 221. The density of states at the Fermi level is 0.79 states/eV/f.u. Its uncorrected formation energy is -1.3000 eV/atom. The calculated total energy comes out at -4.6521 eV per atom.



[3]
Here is crystalline BaCF2 at its relaxed geometry from Alexandria. Energies are from PBE-GGA.

Cell lengths 8.439, 8.439, 8.439 Å; angles 148.94, 148.94, 44.49 degrees
Fractional coordinates of all 8 atoms:
Ba: 0.000 0.000 0.000
Ba: 0.750 0.250 0.500
C: 0.250 0.750 0.500
C: 0.500 0.500 0.000
F: 0.150 0.625 0.025
F: 0.375 0.400 0.525
F: 0.600 0.125 0.975
F: 0.875 0.850 0.475

As for the symmetry: No. 122. The density of states at the Fermi level is 0.00 states/eV/f.u. Its uncorrected formation energy is -0.8465 eV/atom. The calculated total energy comes out at -4.5689 eV per atom.



[4]
Here is crystalline Ba2CF at its relaxed geometry from Alexandria. Energies are from PBE-GGA.

Cell lengths 5.007, 5.007, 5.007 Å; angles 60.00, 60.00, 60.00 degrees
Fractional coordinates of all 4 atoms:
Ba: 0.250 0.250 0.250
Ba: 0.750 0.750 0.750
C: 0.000 0.000 0.000
F: 0.500 0.500 0.500

As for the symmetry: No. 225. The density of states at the Fermi level is 2.64 states/eV/f.u. Its uncorrected formation energy is -0.6315 eV/atom. The calculated total energy comes out at -4.3667 eV per atom.



[5]
Here is crystalline Ba3CF at its relaxed geometry from Alexandria. Energies are from PBE-GGA.

Cell lengths 5.743, 5.743, 5.743 Å; angles 90.00, 90.00, 90.00 degrees
Fractional coordinates of all 5 atoms:
Ba: 0.000 0.000 0.500
Ba: 0.000 0.500 0.000
Ba: 0.500 0.000 0.000
C: 0.000 0.000 0.000
F: 0.500 0.500 0.500

As for the symmetry: No. 221. The density of states at the Fermi level is 3.46 states/eV/f.u. Its uncorrected formation energy is -0.2018 eV/atom. The calculated total energy comes out at -3.5745 eV per atom.



[6]
Here is crystalline BaC2F at its relaxed geometry from Alexandria. Energies are from PBE-GGA.

Cell lengths 4.533, 4.533, 4.533 Å; angles 60.00, 60.00, 60.00 degrees
Fractional coordinates of all 4 atoms:
Ba: 0.000 0.000 0.000
C: 0.250 0.250 0.250
C: 0.750 0.750 0.750
F: 0.500 0.500 0.500

As for the symmetry: No. 225. The density of states at the Fermi level is 3.44 states/eV/f.u. Its uncorrected formation energy is 1.8126 eV/atom. The calculated total energy comes out at -3.7479 eV per atom.



[7]
Here is crystalline Ba2CF at its relaxed geometry from Alexandria. Energies are from PBE-GGA.

Cell lengths 7.868, 7.868, 7.868 Å; angles 134.13, 134.13, 66.89 degrees
Fractional coordinates of all 8 atoms:
Ba: 0.125 0.625 0.000
Ba: 0.375 0.375 0.500
Ba: 0.625 0.125 0.000
Ba: 0.875 0.875 0.500
C: 0.000 0.000 0.000
C: 0.750 0.250 0.500
F: 0.250 0.750 0.500
F: 0.500 0.500 0.000

As for the symmetry: No. 122. The density of states at the Fermi level is 1.41 states/eV/f.u. Its uncorrected formation energy is -0.8103 eV/atom. The calculated total energy comes out at -4.5454 eV per atom.



[8]
Here is crystalline BaCF3 at its relaxed geometry from Alexandria. Energies are from PBE-GGA.

Cell lengths 5.082, 5.082, 5.082 Å; angles 90.00, 90.00, 90.00 degrees
Fractional coordinates of all 5 atoms:
Ba: 0.000 0.000 0.000
C: 0.500 0.500 0.500
F: 0.000 0.000 0.500
F: 0.000 0.500 0.000
F: 0.500 0.000 0.000

As for the symmetry: No. 221. The density of states at the Fermi level is 6.97 states/eV/f.u. Its uncorrected formation energy is -0.7192 eV/atom. The calculated total energy comes out at -4.0714 eV per atom.



[9]
Here is crystalline BaC3F at its relaxed geometry from Alexandria. Energies are from PBE-GGA.

Cell lengths 5.742, 5.742, 5.742 Å; angles 90.00, 90.00, 90.00 degrees
Fractional coordinates of all 5 atoms:
Ba: 0.000 0.000 0.000
C: 0.000 0.000 0.500
C: 0.000 0.500 0.000
C: 0.500 0.000 0.000
F: 0.500 0.500 0.500

As for the symmetry: No. 221. The density of states at the Fermi level is 16.54 states/eV/f.u. Its uncorrected formation energy is 3.3658 eV/atom. The calculated total energy comes out at -2.9274 eV per atom.



[10]
Here is crystalline BaCF at its relaxed geometry from Alexandria. Energies are from PBE-GGA.

Cell lengths 4.476, 4.476, 7.743 Å; angles 94.00, 94.00, 59.31 degrees
Fractional coordinates of all 6 atoms:
Ba: 0.150 0.150 0.265
Ba: 0.850 0.850 0.735
C: 0.462 0.462 0.069
C: 0.538 0.538 0.931
F: 0.176 0.176 0.614
F: 0.824 0.824 0.386

As for the symmetry: No. 12. The density of states at the Fermi level is 0.00 states/eV/f.u. Its uncorrected formation energy is -1.8927 eV/atom. The calculated total energy comes out at -6.2320 eV per atom.



[11]
Here is crystalline BaCF2 at its relaxed geometry from Alexandria. Energies are from PBE-GGA.

Cell lengths 5.875, 5.875, 5.875 Å; angles 45.12, 45.12, 45.12 degrees
Fractional coordinates of all 4 atoms:
Ba: 0.000 0.000 0.000
C: 0.500 0.500 0.500
F: 0.372 0.372 0.372
F: 0.628 0.628 0.628

As for the symmetry: No. 166. The density of states at the Fermi level is 0.00 states/eV/f.u. Its uncorrected formation energy is -1.0514 eV/atom. The calculated total energy comes out at -4.7738 eV per atom.



[12]
Here is crystalline BaC2F at its relaxed geometry from Alexandria. Energies are from PBE-GGA.

Cell lengths 11.276, 11.276, 11.276 Å; angles 162.36, 162.36, 25.05 degrees
Fractional coordinates of all 8 atoms:
Ba: 0.375 0.625 0.750
Ba: 0.625 0.375 0.250
C: 0.000 0.000 0.000
C: 0.000 0.000 0.500
C: 0.000 0.500 0.000
C: 0.500 0.000 0.500
F: 0.125 0.875 0.250
F: 0.875 0.125 0.750

As for the symmetry: No. 141. The density of states at the Fermi level is 0.83 states/eV/f.u. Its uncorrected formation energy is 0.2732 eV/atom. The calculated total energy comes out at -5.2873 eV per atom.